1.
A relaxed structure of Cd2SiAg2. Source: Alexandria, functional PBE-GGA.

a b c (Å): 8.2594 8.2594 2.9982
angles (deg): 90.00 90.00 90.00
Sites, in units of the cell vectors:
Si  0.0000  0.0000  0.0000
Si  0.5000  0.5000  0.0000
Ag  0.1245  0.6245  0.5000
Ag  0.6245  0.8755  0.5000
Ag  0.8755  0.3755  0.5000
Ag  0.3755  0.1245  0.5000
Cd  0.3271  0.8271  0.0000
Cd  0.8271  0.6729  0.0000
Cd  0.6729  0.1729  0.0000
Cd  0.1729  0.3271  0.0000

- magnetic moment (μB per formula unit) = 0.0
- energy relative to the elements, uncorrected (eV per formula unit) = 1.46
- SG = P4/mbm (127)
- excess energy over the best structure of this formula in the dataset (meV per atom) = 69

2.
A relaxed structure of Ce2NdInCo. Source: Alexandria, functional PBE-GGA.

a b c (Å): 4.9723 4.9723 5.6319
angles (deg): 90.00 90.00 90.00
Sites, in units of the cell vectors:
Ce  0.0000  0.5000  0.9998
Ce  0.5000  0.0000  0.9998
Nd  0.0000  0.0000  0.4999
In  0.5000  0.5000  0.5005
Co  0.0000  0.0000  0.0000

- magnetic moment (μB per formula unit) = 0.8
- SG = P4/mmm (123)
- formation enthalpy at 0 K (eV/atom) = -0.235

Result set for D(E_F): 0.392; 1.868 states/eV per atom, one per record in the order listed.